# ScFe6Ge6

A PBEsol-optimized structure of ScFe6Ge6 (meta-GGA SCAN, the Alexandria database).

The structure belongs to space group P6/mmm (No. 191); the cell edges are 4.9427, 4.9427 and 7.9137 Å and the angles 90.00°, 90.00° and 120.00°. The inequivalent atoms are Sc at (0.0000, 0.0000, 0.0000), Fe at (0.0000, 0.5000, 0.2492), Ge at (0.0000, 0.0000, 0.3412), Ge at (0.3333, 0.6667, 0.0000) and Ge at (0.3333, 0.6667, 0.5000).

As for the volume: 167.4 Å³/cell. The total magnetization comes out at 0.95 μB per atom. For the total energy, the calculation gives -241.46 eV per cell. The value obtained for the energy of formation is -0.30 eV/atom.